This record from Alexandria describes a relaxed structure of BeCuNi2. The functional is PBE.

Calculated values
- Total DFT energy (no corrections): -4.9858 eV per atom
- Magnetic moment: 0.0 μB/cell
- Density of states at the Fermi level: 2.755 states/eV/f.u.
- Formation enthalpy at 0 K: -140 meV/atom

Unit cell a=8.712 b=2.642 c=3.990 alpha=90.00 beta=117.06 gamma=90.00
Space group C2/m (No. 12)
One atom of each set of equivalent atoms:
1 Be 0.000 0.000 0.000 (multiplicity 2)
2 Cu 0.000 0.500 0.500 (multiplicity 2)
3 Ni 0.227 0.500 0.227 (multiplicity 4)